This record from Alexandria via LeMat-Bulk describes a geometry-optimized La5Nd4Tl4 structure. The functional is PBE.

Values from the calculation:
calculated total energy = -4.353 eV/atom
energy relative to the elements = -0.263 eV/atom
volume = 871 Å³/cell

```
data_La5Nd4Tl4
_symmetry_space_group_name_H-M 'I 4/m'
_symmetry_Int_Tables_number 87
_symmetry_space_group_name_Hall '-I 4'
_cell_length_a 12.876
_cell_length_b 12.876
_cell_length_c 5.252
_cell_angle_alpha 90.00
_cell_angle_beta 90.00
_cell_angle_gamma 90.00
loop_
_atom_site_label
_atom_site_type_symbol
_atom_site_fract_x
_atom_site_fract_y
_atom_site_fract_z
La1 La 0.000 0.000 0.000
La2 La 0.100 0.195 0.500
Nd1 Nd 0.089 0.388 0.000
Tl1 Tl 0.106 0.767 0.000
```



This record from Alexandria via LeMat-Bulk describes a geometry-optimized AlTeMo structure. The functional is PBE.

Values from the calculation:
calculated total energy = -5.810 eV/atom
volume = 108 Å³/cell

```
data_AlTeMo
_symmetry_space_group_name_H-M 'I 4 m m'
_symmetry_Int_Tables_number 107
_symmetry_space_group_name_Hall 'I 4 -2'
_cell_length_a 3.472
_cell_length_b 3.472
_cell_length_c 8.934
_cell_angle_alpha 90.00
_cell_angle_beta 90.00
_cell_angle_gamma 90.00
loop_
_atom_site_label
_atom_site_type_symbol
_atom_site_fract_x
_atom_site_fract_y
_atom_site_fract_z
Al1 Al 0.000 0.000 0.000
Te1 Te 0.000 0.000 0.318
Mo1 Mo 0.000 0.000 0.643
```



This record from Alexandria via LeMat-Bulk describes a geometry-optimized Al4Si5 structure. The functional is PBE.

Values from the calculation:
calculated total energy = -4.367 eV/atom
volume = 285 Å³/cell

```
data_Al4Si5
_symmetry_space_group_name_H-M 'P 63/m c m'
_symmetry_Int_Tables_number 193
_symmetry_space_group_name_Hall '-P 6c 2'
_cell_length_a 7.7875
_cell_length_b 7.7875
_cell_length_c 5.4192
_cell_angle_alpha 90.00
_cell_angle_beta 90.00
_cell_angle_gamma 120.00
loop_
_atom_site_label
_atom_site_type_symbol
_atom_site_fract_x
_atom_site_fract_y
_atom_site_fract_z
Al1 Al 0.0000 0.0000 0.0000
Al2 Al 0.0000 0.3575 0.2500
Si1 Si 0.0000 0.3116 0.7500
Si2 Si 0.3333 0.6667 0.0000
```



This record from Alexandria via LeMat-Bulk describes a geometry-optimized MgBiAu structure. The functional is PBE.

Values from the calculation:
calculated total energy = -3.190 eV/atom
energy relative to the elements = -0.273 eV/atom
volume = 147 Å³/cell

```
data_MgBiAu
_symmetry_space_group_name_H-M 'P -1'
_symmetry_Int_Tables_number 2
_symmetry_space_group_name_Hall '-P 1'
_cell_length_a 3.265
_cell_length_b 4.381
_cell_length_c 10.294
_cell_angle_alpha 90.31
_cell_angle_beta 90.33
_cell_angle_gamma 90.05
loop_
_atom_site_label
_atom_site_type_symbol
_atom_site_fract_x
_atom_site_fract_y
_atom_site_fract_z
Mg1 Mg 0.002 0.251 0.161
Bi1 Bi 0.499 0.251 0.630
Au1 Au 0.500 0.249 0.913
```



This record from Alexandria via LeMat-Bulk describes a geometry-optimized Sc2ZnFeH structure. The functional is PBE.

Values from the calculation:
calculated total energy = -5.449 eV/atom
volume = 70 Å³/cell

```
data_Sc2ZnFeH
_symmetry_space_group_name_H-M 'P 4/m m m'
_symmetry_Int_Tables_number 123
_symmetry_space_group_name_Hall '-P 4 2'
_cell_length_a 4.499
_cell_length_b 4.499
_cell_length_c 3.470
_cell_angle_alpha 90.00
_cell_angle_beta 90.00
_cell_angle_gamma 90.00
loop_
_atom_site_label
_atom_site_type_symbol
_atom_site_fract_x
_atom_site_fract_y
_atom_site_fract_z
Sc1 Sc 0.000 0.500 0.000
Zn1 Zn 0.000 0.000 0.500
Fe1 Fe 0.500 0.500 0.500
H1 H 0.500 0.500 0.000
```



This record from Alexandria via LeMat-Bulk describes a geometry-optimized K2AsAu structure. The functional is PBE.

Values from the calculation:
calculated total energy = -2.692 eV/atom
energy relative to the elements = -0.161 eV/atom
volume = 413 Å³/cell

```
data_K2AsAu
_symmetry_space_group_name_H-M 'F -4 3 m'
_symmetry_Int_Tables_number 216
_symmetry_space_group_name_Hall 'F -4 2 3'
_cell_length_a 7.444
_cell_length_b 7.444
_cell_length_c 7.444
_cell_angle_alpha 90.00
_cell_angle_beta 90.00
_cell_angle_gamma 90.00
loop_
_atom_site_label
_atom_site_type_symbol
_atom_site_fract_x
_atom_site_fract_y
_atom_site_fract_z
K1 K 0.000 0.000 0.000
K2 K 0.250 0.250 0.250
As1 As 0.250 0.250 0.750
Au1 Au 0.000 0.000 0.500
```